# Lu4Nb2Tl3N3

A geometry-optimized Lu4Nb2Tl3N3 structure (PBE, OQMD via LeMat-Bulk).

Computed properties:
**Crystal system**: monoclinic
**VASP energy**: -324.28 eV/cell
**V**: 18.16 A^3/atom

a b c (Å): 10.098 5.873 15.064
angles (deg): 90.00 102.71 90.00
Space group C2/c (No. 15)
Unique sites:
1 Lu 0.113 0.082 0.087 x8
2 Lu 0.220 0.085 0.413 x8
3 Nb 0.058 0.418 0.929 x8
4 Tl 0.000 0.110 0.750 x4
5 Tl 0.153 0.430 0.250 x8
6 N 0.084 0.246 0.500 x8
7 N 0.250 0.250 0.000 x4

=====

# AgIrPd

A geometry-optimized AgIrPd structure (PBE, OQMD via LeMat-Bulk).

Computed properties:
**Crystal system**: cubic
**VASP energy**: -57.85 eV/cell
**V**: 18.56 A^3/atom

a b c (Å): 6.062 6.062 6.062
angles (deg): 90.00 90.00 90.00
Space group F-43m (No. 216)
Unique sites:
1 Ag 0.000 0.000 0.000 x4
2 Ir 0.000 0.000 0.500 x4
3 Pd 0.250 0.250 0.250 x4

=====

# Gd6Co5

A geometry-optimized Gd6Co5 structure (PBE, OQMD via LeMat-Bulk).

Computed properties:
**Crystal system**: hexagonal
**VASP energy**: -130.08 eV/cell
**V**: 21.10 A^3/atom

a b c (Å): 11.3591 11.3591 4.1553
angles (deg): 90.00 90.00 120.00
Space group P6_3/m (No. 176)
Unique sites:
1 Gd 0.0240 0.7745 0.2500 x6
2 Gd 0.1361 0.5162 0.2500 x6
3 Co 0.0000 0.0000 0.0000 x2
4 Co 0.1607 0.7180 0.7500 x6
5 Co 0.3333 0.6667 0.7500 x2

=====

# KScCuTe3

A geometry-optimized KScCuTe3 structure (PBE, OQMD via LeMat-Bulk).

Computed properties:
**Crystal system**: orthorhombic
**VASP energy**: -102.81 eV/cell
**V**: 30.72 A^3/atom

a b c (Å): 16.589 4.082 10.889
angles (deg): 90.00 90.00 90.00
Space group Pnma (No. 62)
Unique sites:
1 K 0.233 0.250 0.034 x4
2 Sc 0.017 0.250 0.339 x4
3 Cu 0.011 0.750 0.090 x4
4 Te 0.088 0.750 0.879 x4
5 Te 0.098 0.250 0.576 x4
6 Te 0.128 0.750 0.251 x4

=====

# CsNaThS3

A geometry-optimized CsNaThS3 structure (PBE, OQMD via LeMat-Bulk).

Computed properties:
**Crystal system**: orthorhombic
**VASP energy**: -126.03 eV/cell
**V**: 31.10 A^3/atom

a b c (Å): 4.323 15.420 11.197
angles (deg): 90.00 90.00 90.00
Space group Cmcm (No. 63)
Unique sites:
1 Cs 0.000 0.222 0.250 x4
2 Na 0.000 0.061 0.750 x4
3 Th 0.000 0.500 0.000 x4
4 S 0.000 0.115 0.527 x8
5 S 0.000 0.461 0.750 x4

=====

# LiTbCoTe3

A geometry-optimized LiTbCoTe3 structure (PBE, OQMD via LeMat-Bulk).

Computed properties:
**Crystal system**: orthorhombic
**VASP energy**: -110.09 eV/cell
**V**: 27.54 A^3/atom

a b c (Å): 4.106 14.201 11.336
angles (deg): 90.00 90.00 90.00
Space group Cmcm (No. 63)
Unique sites:
1 Li 0.000 0.176 0.250 x4
2 Tb 0.000 0.000 0.000 x4
3 Co 0.000 0.475 0.750 x4
4 Te 0.000 0.084 0.750 x4
5 Te 0.000 0.353 0.578 x8

=====

# BaDyPb2O6

A geometry-optimized BaDyPb2O6 structure (PBE, OQMD via LeMat-Bulk).

Computed properties:
**Crystal system**: tetragonal
**VASP energy**: -59.76 eV/cell
**V**: 15.78 A^3/atom

a b c (Å): 4.263 4.263 8.686
angles (deg): 90.00 90.00 90.00
Space group P4/mmm (No. 123)
Unique sites:
1 Ba 0.000 0.000 0.000 x1
2 Dy 0.000 0.000 0.500 x1
3 Pb 0.500 0.500 0.257 x2
4 O 0.000 0.500 0.296 x4
5 O 0.500 0.500 0.000 x1
6 O 0.500 0.500 0.500 x1

=====

# LaTlTc2

A geometry-optimized LaTlTc2 structure (PBE, OQMD via LeMat-Bulk).

Computed properties:
**Crystal system**: cubic
**VASP energy**: -102.25 eV/cell
**V**: 20.71 A^3/atom

a b c (Å): 6.920 6.920 6.920
angles (deg): 90.00 90.00 90.00
Space group F-43m (No. 216)
Unique sites:
1 La 0.000 0.000 0.000 x4
2 Tl 0.250 0.250 0.750 x4
3 Tc 0.000 0.000 0.500 x4
4 Tc 0.250 0.250 0.250 x4